P) RbZrAl | PBE | relaxed

Geometry as extended XYZ:
```
3
Lattice="0.0000 3.6958 3.6958 3.6958 0.0000 3.6958 3.6958 3.6958 0.0000" Properties=species:S:1:pos:R:3 pbc="T T T"
Rb 1.8479 1.8479 1.8479
Al 0.0000 0.0000 0.0000
Zr 5.5437 5.5437 5.5437
```

Results
As for the crystal system: cubic.

Q) RbZrAl | PBE | relaxed

Geometry as extended XYZ:
```
3
Lattice="0.0000 3.5722 3.5722 3.5722 0.0000 3.5722 3.5722 3.5722 0.0000" Properties=species:S:1:pos:R:3 pbc="T T T"
Al 1.7861 1.7861 1.7861
Rb 0.0000 0.0000 0.0000
Zr 5.3583 5.3583 5.3583
```

Results
As for the crystal system: cubic.

How far above the most stable structure does each one sit? In kJ/mol of atoms: P) 0.0; Q) 55.7.

P) Al2Re11 | PBE | relaxed

Geometry as extended XYZ:
```
13
Lattice="2.5573 1.4765 8.9210 -2.5573 1.4765 8.9210 0.0000 -2.9529 8.9210" Properties=species:S:1:pos:R:3 pbc="T T T"
Al 0.0000 0.0000 4.4649
Re 0.0000 0.0000 0.0000
Re -1.2685 0.7324 6.8099
Re 0.0000 0.0000 14.5783
Re -1.2685 -0.7324 19.9531
Re 0.0000 1.4648 19.9531
Re 0.0000 -1.4648 6.8099
Al 0.0000 0.0000 22.2981
Re 0.0000 0.0000 9.1043
Re 1.2685 0.7324 6.8099
Re 1.2685 -0.7324 19.9531
Re 0.0000 0.0000 12.1847
Re 0.0000 0.0000 17.6588
```

Results
As for the crystal system: trigonal.

Q) Al2Re11 | PBE | relaxed

Geometry as extended XYZ:
```
13
Lattice="-1.7554 -1.3477 9.0998 -0.1293 3.5070 8.6826 -5.0025 2.3259 7.5677" Properties=species:S:1:pos:R:3 pbc="T T T"
Re -0.6833 2.1214 6.5343
Re 0.0000 0.0000 0.0000
Re -3.7662 2.4527 13.8625
Re -3.0700 1.5429 5.9882
Re -5.4075 4.7416 18.6116
Al -4.4861 2.9216 16.5124
Re -1.1180 0.7281 4.1151
Re -1.4796 -0.2563 6.7386
Al -2.4010 1.5637 8.8377
Re -6.2039 2.3639 18.8159
Re -3.1210 2.0325 11.4876
Re -5.7692 3.7572 21.2350
Re -3.8172 2.9424 19.3620
```

Results
As for the crystal system: trigonal.

R) Al2Re11 | PBE | relaxed

Geometry as extended XYZ:
```
13
Lattice="-7.6330 -0.8776 5.5751 -7.3181 -5.2369 3.0225 -4.4234 -4.4799 7.1049" Properties=species:S:1:pos:R:3 pbc="T T T"
Al -10.6030 -5.7979 8.5934
Re 0.0000 0.0000 0.0000
Re -3.1917 -1.7453 2.5868
Re -13.8692 -9.1952 11.5394
Re -5.3513 -3.5300 2.9154
Re -3.9364 -3.1600 4.9109
Re -5.5053 -1.3992 4.1631
Al -8.7715 -4.7965 7.1091
Re -15.4380 -7.4345 10.7917
Re -12.5928 -6.8860 10.2062
Re -16.1827 -8.8491 13.1157
Re -14.0231 -7.0644 12.7871
Re -6.7817 -3.7084 5.4964
```

Results
As for the crystal system: trigonal.

How far above the most stable structure does each one sit? In kJ/mol of atoms: P) 0.0; Q) 2.3; R) 14.9.

P) Al7Re6 | PBE | relaxed

Geometry as extended XYZ:
```
13
Lattice="-5.7915 -5.3585 4.8243 -4.5460 -1.3680 7.9368 -8.1788 -0.7615 4.2493" Properties=species:S:1:pos:R:3 pbc="T T T"
Al 0.0000 0.0000 0.0000
Al -8.3710 -3.3853 7.6902
Al -15.4379 -6.2431 14.1823
Re -3.9060 -1.3476 5.4431
Re -5.6978 -1.0484 3.6243
Al -10.1453 -4.1028 9.3202
Re -13.9960 -4.1722 13.1024
Al -3.0784 -1.2449 2.8280
Re -12.8185 -6.4396 13.3861
Re -14.6103 -6.1405 11.5673
Al -6.4592 -2.6121 5.9338
Al -12.0571 -4.8759 11.0765
Re -4.5203 -3.3158 3.9079
```

Results
As for the crystal system: trigonal.

Q) Al7Re6 | PBE | relaxed

Geometry as extended XYZ:
```
13
Lattice="2.4593 1.4199 8.8455 -2.4593 1.4199 8.8455 0.0000 -2.8398 8.8455" Properties=species:S:1:pos:R:3 pbc="T T T"
Al 0.0000 1.4084 19.7910
Re 0.0000 0.0000 9.2214
Al 1.2197 -0.7042 19.7910
Al 0.0000 -1.4084 6.7456
Re 0.0000 0.0000 12.0727
Al -1.2197 -0.7042 19.7910
Al -1.2197 0.7042 6.7456
Re 0.0000 0.0000 17.3152
Al 0.0000 0.0000 0.0000
Re 0.0000 0.0000 14.4639
Al 1.2197 0.7042 6.7456
Re 0.0000 0.0000 22.0917
Re 0.0000 0.0000 4.4449
```

Results
As for the crystal system: trigonal.

How far above the most stable structure does each one sit? In kJ/mol of atoms: P) 0.0; Q) 8.7.

P) Al17Re12 | PBE | relaxed

Geometry as extended XYZ:
```
29
Lattice="0.8710 1.1196 8.1773 -3.7808 6.6056 -3.3095 -4.5682 -6.7879 -1.3918" Properties=species:S:1:pos:R:3 pbc="T T T"
Al -2.8368 -4.2152 -0.8643
Re -4.5023 1.7077 -2.8540
Al -2.3478 4.1020 -2.0552
Re -1.9773 0.7603 4.4977
Re -1.3064 -2.0612 5.0376
Re -3.9170 3.0478 -0.2921
Al -0.5498 -0.8852 2.9218
Al -1.6140 -2.4323 1.0496
Al -3.2366 4.8922 3.6472
Re -4.2454 -2.5370 0.5076
Re -4.7150 -1.9089 -2.3362
Al 0.0000 0.0000 0.0000
Al 0.5409 0.6953 5.0780
Al -1.3065 2.7973 0.3008
Al -2.5203 -1.3635 -1.1882
Al -4.3884 0.7895 3.7118
Al -5.2946 1.8582 1.4740
Re -2.7752 -4.1965 2.4536
Al -0.3964 1.7240 2.5482
Al -6.5521 0.0723 -2.1856
Re -3.1764 -1.5210 3.0624
Re -2.9300 2.6710 2.4622
Al -2.8343 0.3553 1.3175
Al -2.3662 1.2569 -1.5634
Re -2.2342 5.0050 1.1361
Al -3.7166 -3.2716 4.8161
Re -4.6324 0.1961 -0.5328
Re -0.9781 3.5236 4.2379
Al -5.4481 -0.7510 1.8476
```

Results
As for the crystal system: cubic.

Q) Al17Re12 | PBE | relaxed

Geometry as extended XYZ:
```
29
Lattice="-4.8377 4.8377 4.8377 4.8377 -4.8377 4.8377 4.8377 4.8377 -4.8377" Properties=species:S:1:pos:R:3 pbc="T T T"
Al 1.6945 1.6945 1.6945
Al 3.1432 3.1432 -3.1432
Al 1.3513 1.3513 4.4427
Re 6.9715 0.8522 0.8522
Re 3.9854 2.1339 3.9854
Al 4.4427 1.3513 1.3513
Re 2.7038 -0.8522 0.8522
Re 0.8522 0.8522 6.9715
Re 2.1339 3.9854 3.9854
Re 0.8522 -0.8522 2.7038
Al 1.3513 4.4427 1.3513
Al -1.3513 1.3513 5.2326
Al 1.3513 5.2326 -1.3513
Al 5.2326 -1.3513 1.3513
Re 2.7038 0.8522 -0.8522
Al 3.1432 -3.1432 3.1432
Re 0.8522 2.7038 -0.8522
Re -0.8522 0.8522 2.7038
Re 3.9854 3.9854 2.1339
Re -0.8522 2.7038 0.8522
Al 0.0000 0.0000 0.0000
Al 3.4864 3.4864 -0.3949
Al 5.2326 1.3513 -1.3513
Al 1.3513 -1.3513 5.2326
Re 0.8522 6.9715 0.8522
Al -3.1432 3.1432 3.1432
Al 3.4864 -0.3949 3.4864
Al -1.3513 5.2326 1.3513
Al -0.3949 3.4864 3.4864
```

Results
As for the crystal system: cubic.

How far above the most stable structure does each one sit? In kJ/mol of atoms: P) 10.5; Q) 0.0.

P) Al7Re8 | PBE | relaxed

Geometry as extended XYZ:
```
30
Lattice="9.5286 0.0000 0.0000 0.0000 9.5286 0.0000 0.0000 0.0000 4.9981" Properties=species:S:1:pos:R:3 pbc="T T T"
Re 8.8497 2.4308 0.0000
Re 3.1306 6.3981 3.7516
Al 8.2604 5.0999 0.0000
Re 4.0853 2.3336 2.4990
Al 9.1931 3.4960 2.4990
Re 7.0979 0.6790 0.0000
Re 7.8949 7.8949 3.7455
Re 6.3981 3.1306 3.7516
Al 8.5813 0.9473 2.4990
Re 2.3336 4.0853 2.4990
Re 1.6338 1.6338 1.2526
Al 6.0326 0.3356 2.4990
Re 1.6338 1.6338 3.7455
Al 0.9473 8.5813 2.4990
Re 6.3981 3.1306 1.2465
Al 5.0999 8.2604 0.0000
Al 3.8170 3.8170 0.0000
Re 3.1306 6.3981 1.2465
Re 7.8949 7.8949 1.2526
Al 4.7643 4.7643 2.4990
Al 0.0000 0.0000 0.0000
Al 3.4960 9.1931 2.4990
Re 0.6790 7.0979 0.0000
Re 2.4308 8.8497 0.0000
Al 4.4288 1.2683 0.0000
Al 0.3356 6.0326 2.4990
Al 1.2683 4.4288 0.0000
Re 5.4433 7.1951 2.4990
Al 5.7117 5.7117 0.0000
Re 7.1951 5.4433 2.4990
```

Results
As for the crystal system: tetragonal.

Q) Al7Re8 | PBE | relaxed

Geometry as extended XYZ:
```
30
Lattice="9.3449 0.0000 0.0000 0.0000 9.3449 0.0000 0.0000 0.0000 5.0284" Properties=species:S:1:pos:R:3 pbc="T T T"
Re 6.3203 3.0246 1.2507
Re 1.2186 4.3421 0.0000
Re 3.4539 9.0146 2.5142
Al 4.6725 4.6725 2.5142
Al 8.3961 0.9488 2.5142
Al 0.0000 0.0000 0.0000
Al 4.0384 2.1887 2.5142
Al 8.7108 2.4838 0.0000
Al 0.9488 8.3961 2.5142
Re 9.0146 3.4539 2.5142
Re 0.3303 5.8910 2.5142
Al 3.7237 3.7237 0.0000
Re 4.3421 1.2186 0.0000
Al 5.6212 5.6212 0.0000
Re 3.0246 6.3203 3.7777
Al 2.4838 8.7108 0.0000
Al 6.8611 0.6341 0.0000
Re 1.6478 1.6478 1.2635
Re 8.1263 5.0028 0.0000
Re 1.6478 1.6478 3.7649
Re 3.0246 6.3203 1.2507
Al 2.1887 4.0384 2.5142
Re 7.6971 7.6971 1.2635
Al 7.1562 5.3065 2.5142
Re 5.0028 8.1263 0.0000
Re 7.6971 7.6971 3.7649
Al 5.3065 7.1562 2.5142
Re 5.8910 0.3303 2.5142
Re 6.3203 3.0246 3.7777
Al 0.6341 6.8611 0.0000
```

Results
As for the crystal system: tetragonal.

How far above the most stable structure does each one sit? In kJ/mol of atoms: P) 7.1; Q) 0.0.

P) Al12Re17 | PBE | relaxed

Geometry as extended XYZ:
```
29
Lattice="6.1662 -5.5212 0.2448 2.9000 7.4707 2.0843 -5.9280 -2.2447 5.3279" Properties=species:S:1:pos:R:3 pbc="T T T"
Al 3.7131 0.5337 2.8233
Re 2.8588 -0.6715 0.4829
Al -1.4536 -1.0179 4.6079
Al 3.5295 -2.3679 2.5136
Al -0.4563 4.1919 3.6228
Al 5.4181 -0.7034 1.0265
Re -1.6815 0.5586 2.3911
Re 1.1120 -0.1046 2.7131
Al 4.5269 2.8419 1.5284
Re -0.0232 2.3836 1.7818
Re 2.5041 1.2169 5.1735
Re 0.8482 -0.6054 5.7819
Re 0.7383 -4.9059 4.9190
Re 6.2522 1.1622 2.8931
Re 2.2452 1.7690 0.8284
Re 0.0000 0.0000 0.0000
Al 1.7808 -4.7064 2.3629
Al -0.0977 1.5662 4.4250
Re 1.2030 -2.4937 1.0912
Al -2.8652 1.5407 4.5079
Al 0.9314 -2.5275 3.8454
Re 3.1167 -1.2199 4.8284
Re -1.3018 3.2087 6.0679
Al -1.5194 -3.8123 3.7500
Re 1.8724 4.8236 1.3458
Re -3.8275 -1.4493 3.4401
Re 3.9813 -3.5649 0.1581
Al 2.1837 2.9851 3.2715
Re -1.0688 -1.8783 2.0461
```

Results
As for the crystal system: cubic.

Q) Al12Re17 | PBE | relaxed

Geometry as extended XYZ:
```
29
Lattice="5.3899 6.1451 -0.0498 -6.1876 1.8434 5.0131 3.6724 -6.8243 2.5996" Properties=species:S:1:pos:R:3 pbc="T T T"
Re 0.5568 2.7672 3.6244
Al -1.0175 -2.8651 6.1327
Re -0.0224 -3.9713 3.8883
Al 2.7624 1.0224 0.4832
Re -1.6928 1.1222 4.3963
Re 4.7897 -2.1833 1.7839
Re -2.0552 3.8339 3.4594
Al 6.1501 -0.2019 2.9983
Al 0.5844 1.0769 5.6506
Al 2.8209 1.9079 4.6726
Re -3.9681 1.1822 3.2149
Re 0.0000 0.0000 0.0000
Al 2.4400 -1.4123 0.9805
Re 1.1698 5.0322 2.0491
Re 3.1193 2.9102 2.2920
Al -1.6474 -0.6161 2.4116
Re 2.3551 -4.3764 1.6671
Re 2.4055 -2.4805 3.3932
Re 5.2681 1.4295 1.0459
Re -2.7691 -1.5568 4.5606
Al 0.8577 2.6968 0.9494
Re 1.0312 0.4176 2.7128
Re 3.5720 0.1166 2.8864
Re 0.0316 -1.1988 4.4346
Al -1.3156 1.8893 1.8998
Re 3.4565 3.9408 -0.0319
Al 0.0457 5.1643 4.4925
Al 2.4891 -0.5975 5.1843
Al 0.2035 -2.2433 1.9586
```

Results
As for the crystal system: cubic.

How far above the most stable structure does each one sit? In kJ/mol of atoms: P) 6.0; Q) 0.0.

P) Al4Re11 | PBE | relaxed

Geometry as extended XYZ:
```
30
Lattice="9.4752 0.0000 0.0000 0.0000 9.4752 0.0000 0.0000 0.0000 5.0095" Properties=species:S:1:pos:R:3 pbc="T T T"
Re 0.9961 0.9961 0.0000
Re 0.0000 0.0000 2.5047
Al 8.2353 4.3675 2.5047
Re 8.4790 8.4790 0.0000
Re 5.7337 3.7414 2.5047
Al 4.3675 8.2353 2.5047
Al 1.2399 5.1077 2.5047
Re 8.8365 7.0058 2.5047
Re 2.2682 5.3763 0.0000
Re 4.0989 7.2070 0.0000
Re 4.7376 4.7376 0.0000
Re 6.4279 6.4279 3.7360
Re 7.2070 4.0989 0.0000
Al 0.3701 3.4977 0.0000
Re 2.4694 0.6387 2.5047
Re 0.6387 2.4694 2.5047
Re 5.3763 2.2682 0.0000
Re 1.6903 7.7849 1.2312
Re 3.7414 5.7337 2.5047
Re 6.4279 6.4279 1.2735
Re 7.7849 1.6903 3.7783
Re 7.0058 8.8365 2.5047
Re 1.6903 7.7849 3.7783
Al 3.4977 0.3701 0.0000
Al 5.9775 9.1050 0.0000
Al 9.1050 5.9775 0.0000
Re 3.0473 3.0473 3.7360
Al 5.1077 1.2399 2.5047
Re 3.0473 3.0473 1.2735
Re 7.7849 1.6903 1.2312
```

Results
As for the crystal system: tetragonal.

Q) Al4Re11 | PBE | relaxed

Geometry as extended XYZ:
```
30
Lattice="9.5195 0.0000 0.0000 0.0000 9.5195 0.0000 0.0000 0.0000 4.9460" Properties=species:S:1:pos:R:3 pbc="T T T"
Al 7.7779 7.7779 1.2379
Re 4.4035 1.2769 0.0000
Re 0.9420 8.5775 2.4730
Re 5.3840 7.2666 2.4730
Re 6.0366 0.3562 2.4730
Re 7.2666 5.3840 2.4730
Re 7.0127 0.6243 0.0000
Re 2.5069 8.8952 0.0000
Al 1.7416 1.7416 3.7081
Al 3.0182 6.5013 1.2351
Re 9.1633 3.4829 2.4730
Re 8.5775 0.9420 2.4730
Re 8.8952 2.5069 0.0000
Re 8.2427 5.1160 0.0000
Re 1.2769 4.4035 0.0000
Re 2.2529 4.1355 2.4730
Re 0.3562 6.0366 2.4730
Re 4.7598 4.7598 2.4730
Al 6.5013 3.0182 1.2351
Al 6.5013 3.0182 3.7109
Re 0.6243 7.0127 0.0000
Re 3.4829 9.1633 2.4730
Re 3.8177 3.8177 0.0000
Al 1.7416 1.7416 1.2379
Re 0.0000 0.0000 0.0000
Al 3.0182 6.5013 3.7109
Al 7.7779 7.7779 3.7081
Re 5.7018 5.7018 0.0000
Re 4.1355 2.2529 2.4730
Re 5.1160 8.2427 0.0000
```

Results
As for the crystal system: tetragonal.

How far above the most stable structure does each one sit? In kJ/mol of atoms: P) 0.0; Q) 0.9.